Ca2Ta2O6F at its PBEsol-relaxed geometry, computed with meta-GGA SCAN.

The calculation puts the raw total energy at -20.854 eV per atom. The calculation puts the energy relative to the elements, uncorrected at -35.977 eV/f.u. The space group is No. 227.

Unit cell a=7.2676 b=7.2676 c=7.2676 alpha=60.00 beta=60.00 gamma=60.00
With the nearest neighbours (Å) after each atom.
Sites, in units of the cell vectors:
Ca 0.6250 0.1250 0.6250  2 F 2.23, 6 O 2.48
Ca 0.6250 0.6250 0.1250  2 F 2.23, 6 O 2.48
Ca 0.6250 0.6250 0.6250  2 F 2.23, 6 O 2.48
Ca 0.1250 0.6250 0.6250  2 F 2.23, 6 O 2.48
Ta 0.1250 0.6250 0.1250  6 O 2.02
Ta 0.1250 0.1250 0.6250  6 O 2.02
Ta 0.1250 0.1250 0.1250  6 O 2.02
Ta 0.6250 0.1250 0.1250  6 O 2.02
O 0.2111 0.2111 0.7889  2 Ta 2.02
O 0.7889 0.7889 0.2111  2 Ta 2.02
O 0.4611 0.0389 0.0389  2 Ta 2.02
O 0.2111 0.7889 0.7889  2 Ta 2.02
O 0.4611 0.0389 0.4611  2 Ta 2.02
O 0.4611 0.4611 0.0389  2 Ta 2.02
O 0.7889 0.2111 0.2111  2 Ta 2.02
O 0.0389 0.4611 0.0389  2 Ta 2.02
O 0.0389 0.4611 0.4611  2 Ta 2.02
O 0.7889 0.2111 0.7889  2 Ta 2.02
O 0.2111 0.7889 0.2111  2 Ta 2.02
O 0.0389 0.0389 0.4611  2 Ta 2.02
F 0.7500 0.7500 0.7500  4 Ca 2.23
F 0.5000 0.5000 0.5000  4 Ca 2.23